Computed, not measured: a relaxed structure of NbGe2Os2 at the PBE-GGA level of DFT.

Cell: 7.2692 7.2692 2.9098 Å, 90.00 90.00 90.00°
With the nearest neighbours (Å) after each atom.
Space group P4/mbm (No. 127)
Inequivalent atoms, fractional coordinates:
Nb: 0.0000 0.0000 0.0000 (multiplicity 2)  4 Ge 2.77, 2 Nb 2.91
Ge: 0.1496 0.3504 0.0000 (multiplicity 4)  6 Os 2.54-2.61, 2 Nb 2.77
Os: 0.1481 0.6481 0.5000 (multiplicity 4)  6 Ge 2.54-2.61

* E_form: 0.103 eV/atom
* total moment: 0.00 μB per formula unit
* distance to the lowest polymorph of the same formula: 0.00 eV per formula unit

=====

Computed, not measured: a relaxed structure of Nb2Ge3Os at the PBE-GGA level of DFT.

Cell: 3.9724 5.2882 10.0285 Å, 90.00 90.00 90.00°
With the nearest neighbours (Å) after each atom.
Space group Immm (No. 71)
Inequivalent atoms, fractional coordinates:
Nb: 0.0000 0.0000 0.1819 (multiplicity 4)  6 Ge 2.61-2.70
Ge: 0.0000 0.5000 0.1496 (multiplicity 4)  2 Os 2.49, 4 Nb 2.61-2.66
Ge: 0.0000 0.5000 0.5000 (multiplicity 2)  2 Os 2.64, 4 Nb 2.70
Os: 0.0000 0.0000 0.5000 (multiplicity 2)  6 Ge 2.49-2.64

* E_form: 0.166 eV/atom
* total moment: 0.00 μB per formula unit

=====

Computed, not measured: a relaxed structure of NbGeOs3 at the PBE-GGA level of DFT.

Cell: 4.4682 4.4682 4.4682 Å, 90.00 90.00 90.00°
With the nearest neighbours (Å) after each atom.
Space group Pm-3m (No. 221)
Inequivalent atoms, fractional coordinates:
Nb: 0.0000 0.0000 0.0000 (multiplicity 1)  12 Os 3.16
Ge: 0.5000 0.5000 0.5000 (multiplicity 1)  6 Os 2.23
Os: 0.0000 0.5000 0.5000 (multiplicity 3)  2 Ge 2.23

* E_form: 1.360 eV/atom
* total moment: 0.00 μB per formula unit
* distance to the lowest polymorph of the same formula: 0.00 eV per formula unit

=====

Computed, not measured: a relaxed structure of Nb2Ge2Os at the PBE-GGA level of DFT.

Cell: 4.3055 13.5171 5.9118 Å, 90.00 90.00 90.00°
With the nearest neighbours (Å) after each atom.
Space group Cmc2_1 (No. 36)
Inequivalent atoms, fractional coordinates:
Nb: 0.0000 0.0054 0.0000 (multiplicity 4)  5 Ge 2.69-2.89, 2 Os 2.78, 4 Nb 2.96-3.00
Nb: 0.0000 0.1925 0.2737 (multiplicity 4)  6 Ge 2.72-2.99, 1 Os 2.78, 2 Nb 2.99-3.00
Ge: 0.0000 0.1834 0.7784 (multiplicity 4)  2 Os 2.52, 3 Nb 2.73-2.74
Ge: 0.0000 0.4282 0.7257 (multiplicity 4)  2 Os 2.46-2.54, 4 Nb 2.69-2.72
Os: 0.0000 0.3885 0.1310 (multiplicity 4)  4 Ge 2.46-2.54

* E_form: -0.158 eV/atom
* total moment: 0.00 μB per formula unit
* distance to the lowest polymorph of the same formula: 0.34 eV per formula unit

=====

Computed, not measured: a relaxed structure of NbGeOs at the PBE-GGA level of DFT.

Cell: 7.6898 4.5343 7.1986 Å, 90.00 121.72 90.00°
With the nearest neighbours (Å) after each atom.
Space group C2/m (No. 12)
Inequivalent atoms, fractional coordinates:
Nb: 0.0894 0.0000 0.3408 (multiplicity 4)  4 Os 2.60-2.68, 3 Ge 2.80-2.84
Ge: 0.1680 0.5000 0.8430 (multiplicity 4)  4 Os 2.59-2.69, 3 Nb 2.80-2.84
Os: 0.2016 0.5000 0.2341 (multiplicity 4)  4 Ge 2.59-2.69, 4 Nb 2.60-2.68

* E_form: -0.200 eV/atom
* total moment: 0.00 μB per formula unit

=====

Computed, not measured: a relaxed structure of NbGeOs3 at the PBE-GGA level of DFT.

Cell: 4.7808 4.7808 4.7808 Å, 90.00 90.00 90.00°
With the nearest neighbours (Å) after each atom.
Space group Pm-3m (No. 221)
Inequivalent atoms, fractional coordinates:
Nb: 0.0000 0.0000 0.0000 (multiplicity 1)  6 Os 2.39
Ge: 0.5000 0.5000 0.5000 (multiplicity 1)  12 Os 3.38
Os: 0.0000 0.0000 0.5000 (multiplicity 3)  2 Nb 2.39

* E_form: 2.265 eV/atom
* total moment: 0.48 μB per formula unit
* distance to the lowest polymorph of the same formula: 4.52 eV per formula unit

=====

Computed, not measured: a relaxed structure of NbGeOs at the PBE-GGA level of DFT.

Cell: 4.3215 4.3215 2.9438 Å, 90.00 90.00 120.00°
With the nearest neighbours (Å) after each atom.
Space group P-6m2 (No. 187)
Inequivalent atoms, fractional coordinates:
Nb: 0.0000 0.0000 0.0000 (multiplicity 1)  6 Os 2.90, 6 Ge 2.90, 2 Nb 2.94
Ge: 0.3333 0.6667 0.5000 (multiplicity 1)  3 Os 2.50
Os: 0.6667 0.3333 0.5000 (multiplicity 1)  3 Ge 2.50

* E_form: -0.278 eV/atom
* total moment: 0.00 μB per formula unit

=====

Computed, not measured: a relaxed structure of NbGeOs2 at the PBE-GGA level of DFT.

Cell: 5.6078 5.6078 11.6228 Å, 90.00 90.00 90.00°
With the nearest neighbours (Å) after each atom.
Space group I-42d (No. 122)
Inequivalent atoms, fractional coordinates:
Nb: 0.0000 0.0000 0.0000 (multiplicity 4)  4 Os 2.51
Ge: 0.0000 0.0000 0.5000 (multiplicity 4)  4 Os 2.41
Os: 0.2339 0.2500 0.6250 (multiplicity 8)  2 Ge 2.41, 2 Nb 2.51

* E_form: 1.073 eV/atom
* total moment: 0.00 μB per formula unit